# 1
First-principles (PBE-GGA) data for a relaxed LiMnSe2 crystal, as listed in Alexandria via LeMat-Bulk.

abc: 3.993 3.993 6.571
angles: 90.00 90.00 120.00
Atoms (fractional coordinates):
Li1 0.000 0.000 0.000
Mn1 0.333 0.667 0.481
Se1 0.333 0.667 0.832
Se2 0.667 0.333 0.329

Properties
As for the density of states at the Fermi level: 2.34 states/eV/f.u. As for the spin magnetization: 4.000 μB/f.u. Its raw formation energy is -0.5706 eV/atom.



# 2
First-principles (PBE-GGA) data for a relaxed AlAgAs2Br crystal, as listed in Alexandria via LeMat-Bulk.

abc: 4.888 4.888 5.201
angles: 90.00 90.00 90.00
Atoms (fractional coordinates):
Al1 0.000 0.000 0.000
Ag1 0.500 0.500 0.500
As1 0.000 0.500 0.000
As2 0.500 0.000 0.000
Br1 0.000 0.000 0.500

Properties
As for the density of states at the Fermi level: 3.37 states/eV/f.u. As for the spin magnetization: 0.823 μB/f.u. Its raw formation energy is 0.4290 eV/atom.



# 3
First-principles (PBE-GGA) data for a relaxed HfTa2Os2 crystal, as listed in Alexandria via LeMat-Bulk.

abc: 7.577 7.577 3.106
angles: 90.00 90.00 90.00
Atoms (fractional coordinates):
Hf1 0.000 0.000 0.000
Hf2 0.500 0.500 0.000
Ta1 0.160 0.340 0.500
Ta2 0.340 0.840 0.500
Ta3 0.660 0.160 0.500
Ta4 0.840 0.660 0.500
Os1 0.138 0.638 0.000
Os2 0.362 0.138 0.000
Os3 0.638 0.862 0.000
Os4 0.862 0.362 0.000

Properties
As for the formation energy: -127 meV/atom. As for the density of states at the Fermi level: 5.75 states/eV/f.u. As for the spin magnetization: 0.000 μB/f.u.



# 4
First-principles (PBE-GGA) data for a relaxed MgCoSiAs2 crystal, as listed in Alexandria via LeMat-Bulk.

abc: 4.893 4.893 4.563
angles: 90.00 90.00 90.00
Atoms (fractional coordinates):
Mg1 0.000 0.000 0.000
Co1 0.000 0.000 0.500
Si1 0.500 0.500 0.500
As1 0.000 0.500 0.000
As2 0.500 0.000 0.000

Properties
As for the density of states at the Fermi level: 7.80 states/eV/f.u. As for the spin magnetization: 1.895 μB/f.u. Its raw formation energy is 1.2163 eV/atom.



# 5
First-principles (PBE-GGA) data for a relaxed Pr2Tm6Mg crystal, as listed in Alexandria via LeMat-Bulk.

abc: 10.520 10.520 4.998
angles: 90.00 90.00 90.00
Atoms (fractional coordinates):
Pr1 0.164 0.164 0.000
Pr2 0.336 0.664 0.500
Pr3 0.664 0.336 0.500
Pr4 0.836 0.836 0.000
Tm1 0.001 0.665 0.500
Tm2 0.165 0.499 0.000
Tm3 0.169 0.831 0.000
Tm4 0.331 0.331 0.500
Tm5 0.335 0.999 0.500
Tm6 0.499 0.165 0.000
Tm7 0.501 0.835 0.000
Tm8 0.665 0.001 0.500
Tm9 0.669 0.669 0.500
Tm10 0.831 0.169 0.000
Tm11 0.835 0.501 0.000
Tm12 0.999 0.335 0.500
Mg1 0.000 0.000 0.500
Mg2 0.500 0.500 0.000

Properties
As for the formation energy: 34 meV/atom. As for the density of states at the Fermi level: 13.32 states/eV/f.u. As for the spin magnetization: 0.000 μB/f.u.



# 6
First-principles (PBE-GGA) data for a relaxed SmTh2C2 crystal, as listed in Alexandria via LeMat-Bulk.

abc: 6.497 6.497 7.499
angles: 107.96 107.96 48.44
Atoms (fractional coordinates):
Sm1 0.158 0.158 0.092
Sm2 0.842 0.842 0.908
Th1 0.165 0.165 0.580
Th2 0.495 0.495 0.260
Th3 0.505 0.505 0.740
Th4 0.835 0.835 0.420
C1 0.004 0.004 0.260
C2 0.343 0.343 0.425
C3 0.657 0.657 0.575
C4 0.996 0.996 0.740

Properties
As for the formation energy: -218 meV/atom. As for the density of states at the Fermi level: 4.38 states/eV/f.u. As for the spin magnetization: 0.000 μB/f.u.



# 7
First-principles (PBE-GGA) data for a relaxed ScOs2Cl crystal, as listed in Alexandria via LeMat-Bulk.

abc: 2.815 4.135 12.146
angles: 90.00 90.00 90.00
Atoms (fractional coordinates):
Sc1 0.000 0.000 0.000
Sc2 0.500 0.500 0.500
Os1 0.000 0.500 0.283
Os2 0.000 0.500 0.717
Os3 0.500 0.000 0.217
Os4 0.500 0.000 0.783
Cl1 0.000 0.000 0.500
Cl2 0.500 0.500 0.000

Properties
As for the density of states at the Fermi level: 2.45 states/eV/f.u. As for the spin magnetization: 0.000 μB/f.u. Its raw formation energy is -0.0160 eV/atom.



# 8
First-principles (PBE-GGA) data for a relaxed La2DyEr6Tm3 crystal, as listed in Alexandria via LeMat-Bulk.

abc: 6.151 6.151 11.734
angles: 95.02 95.02 119.99
Atoms (fractional coordinates):
La1 0.167 0.833 0.000
La2 0.833 0.167 0.000
Dy1 0.500 0.500 0.000
Er1 0.083 0.415 0.744
Er2 0.253 0.253 0.256
Er3 0.415 0.083 0.744
Er4 0.585 0.917 0.256
Er5 0.747 0.747 0.744
Er6 0.917 0.585 0.256
Tm1 0.000 0.000 0.500
Tm2 0.334 0.666 0.500
Tm3 0.666 0.334 0.500

Properties
As for the formation energy: 28 meV/atom. As for the density of states at the Fermi level: 17.08 states/eV/f.u. As for the spin magnetization: 0.000 μB/f.u.



# 9
First-principles (PBE-GGA) data for a relaxed Li3B4C4 crystal, as listed in Alexandria via LeMat-Bulk.

abc: 14.647 14.647 14.647
angles: 169.28 21.38 161.56
Atoms (fractional coordinates):
Li1 0.063 0.000 0.063
Li2 0.173 0.987 0.186
Li3 0.435 0.998 0.437
Li4 0.561 0.998 0.563
Li5 0.800 0.987 0.814
Li6 0.937 0.000 0.937
B1 0.163 0.663 0.500
B2 0.211 0.336 0.875
B3 0.381 0.628 0.754
B4 0.461 0.336 0.125
B5 0.663 0.663 0.000
B6 0.709 0.331 0.377
B7 0.874 0.628 0.246
B8 0.954 0.331 0.623
C1 0.036 0.289 0.746
C2 0.045 0.669 0.376
C3 0.293 0.669 0.624
C4 0.328 0.328 0.000
C5 0.543 0.289 0.254
C6 0.548 0.669 0.879
C7 0.791 0.669 0.121
C8 0.828 0.328 0.500

Properties
As for the formation energy: -219 meV/atom. As for the density of states at the Fermi level: 2.85 states/eV/f.u. As for the spin magnetization: 0.000 μB/f.u.



# 10
First-principles (PBE-GGA) data for a relaxed Pm8ScSn6 crystal, as listed in Alexandria via LeMat-Bulk.

abc: 8.444 8.444 8.444
angles: 66.10 66.10 66.10
Atoms (fractional coordinates):
Pm1 0.058 0.733 0.397
Pm2 0.166 0.166 0.166
Pm3 0.267 0.603 0.942
Pm4 0.397 0.058 0.733
Pm5 0.603 0.942 0.267
Pm6 0.733 0.397 0.058
Pm7 0.834 0.834 0.834
Pm8 0.942 0.267 0.603
Sc1 0.500 0.500 0.500
Sn1 0.110 0.433 0.758
Sn2 0.242 0.890 0.567
Sn3 0.433 0.758 0.110
Sn4 0.567 0.242 0.890
Sn5 0.758 0.110 0.433
Sn6 0.890 0.567 0.242

Properties
As for the formation energy: -545 meV/atom. As for the density of states at the Fermi level: 9.50 states/eV/f.u. As for the spin magnetization: 0.000 μB/f.u.



# 11
First-principles (PBE-GGA) data for a relaxed ZnCd2P crystal, as listed in Alexandria via LeMat-Bulk.

abc: 2.783 3.770 7.818
angles: 90.00 90.45 90.00
Atoms (fractional coordinates):
Zn1 0.000 0.000 0.000
Cd1 0.500 0.500 0.246
Cd2 0.999 0.000 0.534
P1 0.000 0.500 0.802

Properties
As for the formation energy: 158 meV/atom. As for the density of states at the Fermi level: 1.22 states/eV/f.u. As for the spin magnetization: 0.000 μB/f.u.



# 12
First-principles (PBE-GGA) data for a relaxed CuHgTe2 crystal, as listed in Alexandria via LeMat-Bulk.

abc: 5.997 13.046 6.297
angles: 90.00 110.99 90.00
Atoms (fractional coordinates):
Cu1 0.000 0.211 0.250
Cu2 0.000 0.789 0.750
Cu3 0.500 0.289 0.750
Cu4 0.500 0.711 0.250
Hg1 0.000 0.411 0.750
Hg2 0.000 0.589 0.250
Hg3 0.500 0.089 0.250
Hg4 0.500 0.911 0.750
Te1 0.177 0.139 0.654
Te2 0.177 0.861 0.154
Te3 0.323 0.361 0.346
Te4 0.323 0.639 0.846
Te5 0.677 0.361 0.154
Te6 0.677 0.639 0.654
Te7 0.823 0.139 0.846
Te8 0.823 0.861 0.346

Properties
As for the density of states at the Fermi level: 2.18 states/eV/f.u. As for the spin magnetization: 0.000 μB/f.u. Its raw formation energy is 0.0621 eV/atom.